# 1
This record from the Open Quantum Materials Database describes a relaxed structure of AcAg2O4. The functional is PBE. Values from VASP.

Quantum ESPRESSO input file:
```
&SYSTEM
  ibrav = 0, nat = 14, ntyp = 3
/
ATOMIC_SPECIES
Ac 227.00 Ac.upf
Ag 107.87 Ag.upf
O 16.00 O.upf
CELL_PARAMETERS angstrom
0.000 4.800 4.800
4.800 0.000 4.800
4.800 4.800 0.000
ATOMIC_POSITIONS crystal
Ac 0.125 0.125 0.125
Ac 0.875 0.875 0.875
Ag 0.000 0.500 0.500
Ag 0.500 0.000 0.500
Ag 0.500 0.500 0.000
Ag 0.500 0.500 0.500
O 0.266 0.266 0.266
O 0.266 0.266 0.702
O 0.266 0.702 0.266
O 0.298 0.734 0.734
O 0.702 0.266 0.266
O 0.734 0.298 0.734
O 0.734 0.734 0.298
O 0.734 0.734 0.734
```

Properties
Magnetic moment in μB/cell: 0.4
VASP energy in eV per atom: -5.174

# 2
This record from the Open Quantum Materials Database describes a relaxed structure of Ac2Ag2O5. The functional is PBE. Values from VASP.

Quantum ESPRESSO input file:
```
&SYSTEM
  ibrav = 0, nat = 9, ntyp = 3
/
ATOMIC_SPECIES
Ac 227.00 Ac.upf
Ag 107.87 Ag.upf
O 16.00 O.upf
CELL_PARAMETERS angstrom
4.536 0.000 0.000
0.000 4.536 0.000
0.000 0.000 8.356
ATOMIC_POSITIONS crystal
Ac 0.000 0.000 0.225
Ac 0.000 0.000 0.775
Ag 0.500 0.500 0.000
Ag 0.500 0.500 0.500
O 0.000 0.000 0.500
O 0.000 0.500 0.180
O 0.000 0.500 0.820
O 0.500 0.000 0.180
O 0.500 0.000 0.820
```

Properties
Magnetic moment in μB/cell: 0.8
ΔE to the lowest computed polymorph in meV per atom: 393

# 3
This record from the Open Quantum Materials Database describes a relaxed structure of Ac4Ag4O11. The functional is PBE. Values from VASP.

Quantum ESPRESSO input file:
```
&SYSTEM
  ibrav = 0, nat = 19, ntyp = 3
/
ATOMIC_SPECIES
Ac 227.00 Ac.upf
Ag 107.87 Ag.upf
O 16.00 O.upf
CELL_PARAMETERS angstrom
5.764 0.000 0.000
0.000 8.139 0.000
-0.049 0.000 6.135
ATOMIC_POSITIONS crystal
Ac 0.000 0.000 0.000
Ac 0.027 0.500 0.864
Ac 0.501 0.500 0.357
Ac 0.538 0.000 0.487
Ag 0.014 0.249 0.427
Ag 0.014 0.751 0.427
Ag 0.512 0.238 0.924
Ag 0.512 0.762 0.924
O 0.107 0.000 0.407
O 0.221 0.287 0.112
O 0.221 0.713 0.112
O 0.329 0.287 0.633
O 0.329 0.713 0.633
O 0.638 0.500 0.987
O 0.706 0.183 0.211
O 0.706 0.817 0.211
O 0.801 0.188 0.737
O 0.801 0.812 0.737
O 0.916 0.500 0.464
```

Properties
Magnetic moment in μB/cell: 0.0
VASP energy in eV per atom: -6.070

# 4
This record from the Open Quantum Materials Database describes a relaxed structure of Ac2Ag2O5. The functional is PBE. Values from VASP.

Quantum ESPRESSO input file:
```
&SYSTEM
  ibrav = 0, nat = 9, ntyp = 3
/
ATOMIC_SPECIES
Ac 227.00 Ac.upf
Ag 107.87 Ag.upf
O 16.00 O.upf
CELL_PARAMETERS angstrom
4.226 0.000 0.000
0.000 4.226 0.000
0.000 0.000 7.411
ATOMIC_POSITIONS crystal
Ac 0.000 0.000 0.000
Ac 0.000 0.000 0.500
Ag 0.500 0.500 0.202
Ag 0.500 0.500 0.798
O 0.000 0.500 0.219
O 0.000 0.500 0.781
O 0.500 0.000 0.219
O 0.500 0.000 0.781
O 0.500 0.500 0.500
```

Properties
Magnetic moment in μB/cell: 0.0
ΔE to the lowest computed polymorph in meV per atom: 0

# 5
This record from the Open Quantum Materials Database describes a relaxed structure of AcAgOs. The functional is PBE. Values from VASP.

Quantum ESPRESSO input file:
```
&SYSTEM
  ibrav = 0, nat = 3, ntyp = 3
/
ATOMIC_SPECIES
Ac 227.00 Ac.upf
Ag 107.87 Ag.upf
Os 190.23 Os.upf
CELL_PARAMETERS angstrom
0.000 3.451 3.451
3.451 0.000 3.451
3.451 3.451 0.000
ATOMIC_POSITIONS crystal
Ac 0.000 0.000 0.000
Ag 0.750 0.750 0.750
Os 0.250 0.250 0.250
```

Properties
ΔH_f (0 K) in meV/atom: 1168
Magnetic moment in μB/cell: 0.0
ΔE to the lowest computed polymorph in meV per atom: 370

# 6
This record from the Open Quantum Materials Database describes a relaxed structure of AcAgOs. The functional is PBE. Values from VASP.

Quantum ESPRESSO input file:
```
&SYSTEM
  ibrav = 0, nat = 3, ntyp = 3
/
ATOMIC_SPECIES
Ac 227.00 Ac.upf
Ag 107.87 Ag.upf
Os 190.23 Os.upf
CELL_PARAMETERS angstrom
0.000 3.400 3.400
3.400 0.000 3.400
3.400 3.400 0.000
ATOMIC_POSITIONS crystal
Ac 0.000 0.000 0.000
Ag 0.250 0.250 0.250
Os 0.500 0.500 0.500
```

Properties
ΔH_f (0 K) in meV/atom: 798
Magnetic moment in μB/cell: 0.4
ΔE to the lowest computed polymorph in meV per atom: 0